Here is a relaxed ScMnBeGa2 crystal from Alexandria. Energies are from PBEsol.

Unit cell a=4.417 b=4.566 c=4.566 alpha=90.00 beta=90.00 gamma=90.00
Atoms (fractional coordinates):
Be 0.500 0.500 0.500
Sc 0.500 0.000 0.000
Ga 0.000 0.000 0.500
Ga 0.000 0.500 0.000
Mn 0.000 0.000 0.000

Properties
E   -0.36156 Ry/atom
Magnetization   0.4 μB/f.u.
Symmetry   No. 123
Energy of formation   0.490 eV per atom


Here is a relaxed CaLaCo2 crystal from Alexandria. Energies are from PBEsol.

Unit cell a=3.993 b=5.242 c=5.597 alpha=74.83 beta=69.10 gamma=67.61
Atoms (fractional coordinates):
Ca 0.000 0.500 0.500
La 0.500 0.000 0.000
Co 0.261 0.546 0.932
Co 0.739 0.454 0.068

Properties
E   -0.41041 Ry/atom
Magnetization   0.9 μB/f.u.
Symmetry   No. 12
Energy of formation   0.155 eV per atom


Here is a relaxed YMo2Rh crystal from Alexandria. Energies are from PBEsol.

Unit cell a=3.266 b=4.270 c=4.881 alpha=90.00 beta=90.00 gamma=90.00
Atoms (fractional coordinates):
Mo 0.000 0.000 0.000
Mo 0.500 0.500 0.000
Y 0.000 0.500 0.500
Rh 0.500 0.000 0.500

Properties
E   -0.70068 Ry/atom
Magnetization   0.0 μB/f.u.
Symmetry   No. 47
Relative energy among the computed polymorphs   0.00 eV per formula unit
Energy of formation   0.091 eV per atom


Here is a relaxed Cr4Ir crystal from Alexandria. Energies are from PBEsol.

Unit cell a=2.821 b=4.775 c=4.775 alpha=84.99 beta=72.82 gamma=72.82
Atoms (fractional coordinates):
Cr 0.184 0.431 0.201
Cr 0.615 0.201 0.569
Cr 0.816 0.569 0.799
Cr 0.385 0.799 0.431
Ir 0.000 0.000 0.000

Properties
E   -0.74676 Ry/atom
Magnetization   0.0 μB/f.u.
Symmetry   No. 87
Energy of formation   -0.002 eV per atom


Here is a relaxed ZrWS2 crystal from Alexandria. Energies are from PBEsol.

Unit cell a=3.073 b=3.073 c=8.635 alpha=79.75 beta=79.75 gamma=60.00
Atoms (fractional coordinates):
S 0.101 0.101 0.696
S 0.899 0.899 0.304
Zr 0.000 0.000 0.000
W 0.500 0.500 0.500

Properties
E   -0.61814 Ry/atom
Magnetization   0.0 μB/f.u.
ΔE_f (raw)   -1.98 eV per formula unit
Symmetry   No. 166
Relative energy among the computed polymorphs   0.00 eV per formula unit


Here is a relaxed HoCo3Ni2 crystal from Alexandria. Energies are from PBEsol.

Unit cell a=3.957 b=4.756 c=4.756 alpha=120.00 beta=90.00 gamma=90.00
Atoms (fractional coordinates):
Co 0.500 0.500 0.000
Co 0.500 0.000 0.500
Co 0.500 0.500 0.500
Ni 0.000 0.667 0.333
Ni 0.000 0.333 0.667
Ho 0.000 0.000 0.000

Properties
E   -0.51023 Ry/atom
Magnetization   4.7 μB/f.u.
Symmetry   No. 191
Energy of formation   -0.196 eV per atom


Here is a relaxed TaNiSb2 crystal from Alexandria. Energies are from PBEsol.

Unit cell a=3.925 b=3.925 c=5.500 alpha=110.91 beta=110.91 gamma=90.00
Atoms (fractional coordinates):
Ta 0.500 0.500 0.000
Sb 0.750 0.250 0.500
Sb 0.000 0.000 0.000
Ni 0.250 0.750 0.500

Properties
E   -0.49188 Ry/atom
Magnetization   0.0 μB/f.u.
ΔE_f (raw)   1.05 eV per formula unit
Symmetry   No. 119
Relative energy among the computed polymorphs   0.87 eV per formula unit


Here is a relaxed Mg2AlZn crystal from Alexandria. Energies are from PBEsol.

Unit cell a=3.207 b=4.744 c=5.672 alpha=114.72 beta=106.42 gamma=90.00
Atoms (fractional coordinates):
Al 0.226 0.726 0.453
Zn 0.510 0.510 0.021
Mg 0.993 0.993 0.986
Mg 0.770 0.270 0.541

Properties
E   -0.16602 Ry/atom
Magnetization   0.0 μB/f.u.
Symmetry   No. 44
Energy of formation   0.018 eV per atom


Here is a relaxed Tl2NiCl crystal from Alexandria. Energies are from PBEsol.

Unit cell a=3.999 b=3.999 c=6.366 alpha=108.31 beta=108.31 gamma=90.00
Atoms (fractional coordinates):
Tl 0.750 0.250 0.500
Tl 0.000 0.000 0.000
Cl 0.500 0.500 0.000
Ni 0.250 0.750 0.500

Properties
E   -0.23331 Ry/atom
Magnetization   0.2 μB/f.u.
ΔE_f (raw)   0.73 eV per formula unit
Symmetry   No. 119


Here is a relaxed CuTe crystal from Alexandria. Energies are from PBEsol.

Unit cell a=3.969 b=3.969 c=7.044 alpha=90.00 beta=90.00 gamma=120.00
Atoms (fractional coordinates):
Cu 0.667 0.333 0.991
Cu 0.333 0.667 0.491
Te 0.667 0.333 0.638
Te 0.333 0.667 0.138

Properties
E   -0.28654 Ry/atom
Magnetization   0.0 μB/f.u.
ΔE_f (raw)   0.06 eV per formula unit
Symmetry   No. 186


Here is a relaxed CsSrSiHO4 crystal from Alexandria. Energies are from PBEsol.

Unit cell a=5.695 b=6.268 c=8.084 alpha=90.00 beta=90.00 gamma=116.76
Atoms (fractional coordinates):
Sr 0.034 0.099 0.054
Sr 0.966 0.901 0.554
O 0.131 0.870 0.270
O 0.509 0.797 0.421
O 0.491 0.203 0.921
O 0.869 0.130 0.770
O 0.565 0.922 0.105
O 0.800 0.522 0.689
O 0.200 0.478 0.189
O 0.435 0.078 0.605
Si 0.341 0.759 0.241
Si 0.659 0.241 0.741
Cs 0.651 0.385 0.302
Cs 0.349 0.615 0.802
H 0.479 0.923 0.500
H 0.521 0.077 0.000

Properties
E   -0.47781 Ry/atom
Magnetization   0.0 μB/f.u.
Symmetry   No. 4


Here is a relaxed TaCl crystal from Alexandria. Energies are from PBEsol.

Unit cell a=3.603 b=3.603 c=5.570 alpha=108.87 beta=108.87 gamma=90.00
Atoms (fractional coordinates):
Cl 0.250 0.750 0.500
Cl 0.000 0.000 0.000
Ta 0.500 0.500 0.000
Ta 0.750 0.250 0.500

Properties
E   -0.49049 Ry/atom
Magnetization   0.0 μB/f.u.
ΔE_f (raw)   1.21 eV per formula unit
Symmetry   No. 141


- Look up the E of the eleventh one.
  -0.47781 Ry/atom


- Which formula does entry 1 have?
  ScMnBeGa2


- Which formula does entry 4 have?
  Cr4Ir